Below is SrInO2 after structural relaxation, with properties calculated at the PBE level.

Values from the calculation:
Energy relative to the elements, uncorrected ... -1.73 eV per atom

a = 4.3742 Å, b = 3.3547 Å, c = 9.2954 Å
α = 90.00°, β = 90.00°, γ = 90.00°
Space group Amm2 (No. 38)
Inequivalent atoms, fractional coordinates:
Sr 0.0000 0.0000 0.0000 (multiplicity 2)
In 0.5000 0.0000 0.2583 (multiplicity 2)
O 0.0000 0.0000 0.3027 (multiplicity 2)
O 0.5000 0.0000 0.5903 (multiplicity 2)